1.
The following is a DFT calculation (PBE-GGA) of an optimized crystal structure of SrHgP2Cl.

Properties
Raw formation energy ... -0.06 eV per atom
E above lowest polymorph ... 0.0 meV/atom

Cell and atoms, written as CIF:
```
data_SrHgP2Cl
_space_group_name_H-M_alt 'P 4/m m m'
_space_group_IT_number 123
_space_group_name_Hall '-P 4 2'
_cell_length_a 4.914
_cell_length_b 4.914
_cell_length_c 5.874
_cell_angle_alpha 90.00
_cell_angle_beta 90.00
_cell_angle_gamma 90.00
loop_
_atom_site_label
_atom_site_type_symbol
_atom_site_fract_x
_atom_site_fract_y
_atom_site_fract_z
Sr1 Sr 0.000 0.000 0.000
Hg1 Hg 0.500 0.500 0.500
P1 P 0.000 0.500 0.500
Cl1 Cl 0.500 0.500 0.000
```

***

2.
The following is a DFT calculation (PBE-GGA) of an optimized crystal structure of NiIr2Se.

Properties
Raw formation energy ... 0.34 eV per atom
E above lowest polymorph ... 103.5 meV/atom

Cell and atoms, written as CIF:
```
data_NiIr2Se
_space_group_name_H-M_alt 'C 1 m 1'
_space_group_IT_number 8
_cell_length_a 8.592
_cell_length_b 2.878
_cell_length_c 4.896
_cell_angle_alpha 90.00
_cell_angle_beta 104.03
_cell_angle_gamma 90.00
loop_
_space_group_symop_operation_xyz
'x,y,z'
'x,-y,z'
'x+1/2,y+1/2,z'
'x+1/2,-y+1/2,z'
loop_
_atom_site_label
_atom_site_type_symbol
_atom_site_fract_x
_atom_site_fract_y
_atom_site_fract_z
Ni1 Ni 0.000 0.000 0.000
Ir1 Ir 0.014 0.500 0.492
Ir2 Ir 0.257 0.500 0.249
Se1 Se 0.246 0.000 0.814
```

***

3.
The following is a DFT calculation (PBE-GGA) of an optimized crystal structure of Cr6CN.

Properties
Raw formation energy ... -0.14 eV per atom

Cell and atoms, written as CIF:
```
data_Cr6CN
_space_group_name_H-M_alt 'P -1'
_space_group_IT_number 2
_cell_length_a 4.682
_cell_length_b 4.682
_cell_length_c 5.125
_cell_angle_alpha 62.91
_cell_angle_beta 62.91
_cell_angle_gamma 60.06
loop_
_space_group_symop_operation_xyz
'x,y,z'
'-x,-y,-z'
loop_
_atom_site_label
_atom_site_type_symbol
_atom_site_fract_x
_atom_site_fract_y
_atom_site_fract_z
Cr1 Cr 0.071 0.426 0.253
Cr2 Cr 0.249 0.930 0.749
Cr3 Cr 0.427 0.749 0.254
C1 C 0.500 0.500 0.000
N1 N 0.000 0.000 0.500
```

***

4.
The following is a DFT calculation (PBE-GGA) of an optimized crystal structure of KReP.

Properties
Energy of formation ... 251 meV per atom

Cell and atoms, written as CIF:
```
data_KReP
_space_group_name_H-M_alt 'I 4 m m'
_space_group_IT_number 107
_space_group_name_Hall 'I 4 -2'
_cell_length_a 3.205
_cell_length_b 3.205
_cell_length_c 12.357
_cell_angle_alpha 90.00
_cell_angle_beta 90.00
_cell_angle_gamma 90.00
loop_
_atom_site_label
_atom_site_type_symbol
_atom_site_fract_x
_atom_site_fract_y
_atom_site_fract_z
K1 K 0.000 0.000 0.000
Re1 Re 0.000 0.000 0.278
P1 P 0.000 0.000 0.716
```

***

5.
The following is a DFT calculation (PBE-GGA) of an optimized crystal structure of Cs2CaIrO4.

Properties
Raw formation energy ... -1.36 eV per atom

Cell and atoms, written as CIF:
```
data_Cs2CaIrO4
_space_group_name_H-M_alt 'F d d d'
_space_group_IT_number 70
_cell_length_a 6.242
_cell_length_b 14.353
_cell_length_c 23.022
_cell_angle_alpha 90.00
_cell_angle_beta 90.00
_cell_angle_gamma 90.00
loop_
_space_group_symop_operation_xyz
'x,y,z'
'-x,-y,-z'
'-x+1/4,-y+1/4,z'
'x+1/4,y+1/4,-z'
'x,-y+1/4,-z+1/4'
'-x,y+1/4,z+1/4'
'-x+1/4,y,-z+1/4'
'x+1/4,-y,z+1/4'
'x,y+1/2,z+1/2'
'-x,-y+1/2,-z+1/2'
'-x+1/4,-y+3/4,z+1/2'
'x+1/4,y+3/4,-z+1/2'
'x,-y+3/4,-z+3/4'
'-x,y+3/4,z+3/4'
'-x+1/4,y+1/2,-z+3/4'
'x+1/4,-y+1/2,z+3/4'
'x+1/2,y,z+1/2'
'-x+1/2,-y,-z+1/2'
'-x+3/4,-y+1/4,z+1/2'
'x+3/4,y+1/4,-z+1/2'
'x+1/2,-y+1/4,-z+3/4'
'-x+1/2,y+1/4,z+3/4'
'-x+3/4,y,-z+3/4'
'x+3/4,-y,z+3/4'
'x+1/2,y+1/2,z'
'-x+1/2,-y+1/2,-z'
'-x+3/4,-y+3/4,z'
'x+3/4,y+3/4,-z'
'x+1/2,-y+3/4,-z+1/4'
'-x+1/2,y+3/4,z+1/4'
'-x+3/4,y+1/2,-z+1/4'
'x+3/4,-y+1/2,z+1/4'
loop_
_atom_site_label
_atom_site_type_symbol
_atom_site_fract_x
_atom_site_fract_y
_atom_site_fract_z
Cs1 Cs 0.125 0.125 0.307
Ca1 Ca 0.125 0.125 0.125
Ir1 Ir 0.125 0.125 0.625
O1 O 0.094 0.280 0.871
```

***

6.
The following is a DFT calculation (PBE-GGA) of an optimized crystal structure of Mn3Ag5Br16.

Properties
Raw formation energy ... -0.44 eV per atom

Cell and atoms, written as CIF:
```
data_Mn3Ag5Br16
_space_group_name_H-M_alt 'C 1 m 1'
_space_group_IT_number 8
_cell_length_a 14.472
_cell_length_b 7.699
_cell_length_c 13.057
_cell_angle_alpha 90.00
_cell_angle_beta 98.65
_cell_angle_gamma 90.00
loop_
_space_group_symop_operation_xyz
'x,y,z'
'x,-y,z'
'x+1/2,y+1/2,z'
'x+1/2,-y+1/2,z'
loop_
_atom_site_label
_atom_site_type_symbol
_atom_site_fract_x
_atom_site_fract_y
_atom_site_fract_z
Mn1 Mn 0.000 0.000 0.000
Mn2 Mn 0.394 0.253 0.506
Ag1 Ag 0.144 0.500 0.518
Ag2 Ag 0.192 0.000 0.252
Ag3 Ag 0.250 0.247 0.996
Ag4 Ag 0.495 0.000 0.778
Br1 Br 0.048 0.249 0.616
Br2 Br 0.082 0.227 0.117
Br3 Br 0.124 0.000 0.889
Br4 Br 0.175 0.500 0.872
Br5 Br 0.235 0.251 0.401
Br6 Br 0.330 0.000 0.120
Br7 Br 0.336 0.500 0.622
Br8 Br 0.337 0.000 0.626
Br9 Br 0.373 0.500 0.106
Br10 Br 0.420 0.270 0.890
Br11 Br 0.446 0.000 0.391
Br12 Br 0.449 0.500 0.395
```

***

7.
The following is a DFT calculation (PBE-GGA) of an optimized crystal structure of RbTa2TeO8.

Properties
Raw formation energy ... -2.05 eV per atom

Cell and atoms, written as CIF:
```
data_RbTa2TeO8
_space_group_name_H-M_alt 'C 1 2/m 1'
_space_group_IT_number 12
_cell_length_a 8.770
_cell_length_b 6.324
_cell_length_c 7.473
_cell_angle_alpha 90.00
_cell_angle_beta 108.92
_cell_angle_gamma 90.00
loop_
_space_group_symop_operation_xyz
'x,y,z'
'-x,-y,-z'
'-x,y,-z'
'x,-y,z'
'x+1/2,y+1/2,z'
'-x+1/2,-y+1/2,-z'
'-x+1/2,y+1/2,-z'
'x+1/2,-y+1/2,z'
loop_
_atom_site_label
_atom_site_type_symbol
_atom_site_fract_x
_atom_site_fract_y
_atom_site_fract_z
Rb1 Rb 0.000 0.000 0.000
Ta1 Ta 0.055 0.500 0.226
Te1 Te 0.000 0.000 0.500
O1 O 0.014 0.238 0.700
O2 O 0.146 0.500 0.025
O3 O 0.242 0.000 0.573
```

***

8.
The following is a DFT calculation (PBE-GGA) of an optimized crystal structure of Cs3KAu.

Properties
E above lowest polymorph ... 3.7 meV/atom
Energy of formation ... -134 meV per atom

Cell and atoms, written as CIF:
```
data_Cs3KAu
_space_group_name_H-M_alt 'P m -3 m'
_space_group_IT_number 221
_space_group_name_Hall '-P 4 2 3'
_cell_length_a 7.295
_cell_length_b 7.295
_cell_length_c 7.295
_cell_angle_alpha 90.00
_cell_angle_beta 90.00
_cell_angle_gamma 90.00
loop_
_atom_site_label
_atom_site_type_symbol
_atom_site_fract_x
_atom_site_fract_y
_atom_site_fract_z
Cs1 Cs 0.000 0.000 0.500
K1 K 0.500 0.500 0.500
Au1 Au 0.000 0.000 0.000
```

***

9.
The following is a DFT calculation (PBE-GGA) of an optimized crystal structure of BaNd2Eu.

Properties
E above lowest polymorph ... 82.8 meV/atom
Energy of formation ... 244 meV per atom

Cell and atoms, written as CIF:
```
data_BaNd2Eu
_space_group_name_H-M_alt 'R -3 m'
_space_group_IT_number 166
_space_group_name_Hall '-R 3 2"'
_cell_length_a 3.7508
_cell_length_b 3.7508
_cell_length_c 40.5527
_cell_angle_alpha 90.00
_cell_angle_beta 90.00
_cell_angle_gamma 120.00
loop_
_atom_site_label
_atom_site_type_symbol
_atom_site_fract_x
_atom_site_fract_y
_atom_site_fract_z
Ba1 Ba 0.0000 0.0000 0.0000
Nd1 Nd 0.0000 0.0000 0.0911
Eu1 Eu 0.0000 0.0000 0.5000
```

***

10.
The following is a DFT calculation (PBE-GGA) of an optimized crystal structure of NpNb2Se3.

Properties
Raw formation energy ... -0.64 eV per atom

Cell and atoms, written as CIF:
```
data_NpNb2Se3
_space_group_name_H-M_alt 'C 1 2/m 1'
_space_group_IT_number 12
_cell_length_a 17.735
_cell_length_b 3.571
_cell_length_c 9.345
_cell_angle_alpha 90.00
_cell_angle_beta 107.09
_cell_angle_gamma 90.00
loop_
_space_group_symop_operation_xyz
'x,y,z'
'-x,-y,-z'
'-x,y,-z'
'x,-y,z'
'x+1/2,y+1/2,z'
'-x+1/2,-y+1/2,-z'
'-x+1/2,y+1/2,-z'
'x+1/2,-y+1/2,z'
loop_
_atom_site_label
_atom_site_type_symbol
_atom_site_fract_x
_atom_site_fract_y
_atom_site_fract_z
Np1 Np 0.203 0.000 0.000
Nb1 Nb 0.088 0.500 0.212
Nb2 Nb 0.192 0.000 0.405
Se1 Se 0.045 0.000 0.373
Se2 Se 0.075 0.500 0.924
Se3 Se 0.239 0.000 0.716
```

***

11.
The following is a DFT calculation (PBE-GGA) of an optimized crystal structure of RbTe3Au.

Properties
Raw formation energy ... -0.12 eV per atom

Cell and atoms, written as CIF:
```
data_RbTe3Au
_space_group_name_H-M_alt 'P m -3 m'
_space_group_IT_number 221
_space_group_name_Hall '-P 4 2 3'
_cell_length_a 5.604
_cell_length_b 5.604
_cell_length_c 5.604
_cell_angle_alpha 90.00
_cell_angle_beta 90.00
_cell_angle_gamma 90.00
loop_
_atom_site_label
_atom_site_type_symbol
_atom_site_fract_x
_atom_site_fract_y
_atom_site_fract_z
Rb1 Rb 0.000 0.000 0.000
Te1 Te 0.000 0.500 0.500
Au1 Au 0.500 0.500 0.500
```

***

12.
The following is a DFT calculation (PBE-GGA) of an optimized crystal structure of CoTeAuN2.

Properties
Raw formation energy ... 1.07 eV per atom
E above lowest polymorph ... 0.0 meV/atom

Cell and atoms, written as CIF:
```
data_CoTeAuN2
_space_group_name_H-M_alt 'P 4/m m m'
_space_group_IT_number 123
_space_group_name_Hall '-P 4 2'
_cell_length_a 3.781
_cell_length_b 3.781
_cell_length_c 5.628
_cell_angle_alpha 90.00
_cell_angle_beta 90.00
_cell_angle_gamma 90.00
loop_
_atom_site_label
_atom_site_type_symbol
_atom_site_fract_x
_atom_site_fract_y
_atom_site_fract_z
Co1 Co 0.000 0.000 0.000
Te1 Te 0.000 0.000 0.500
Au1 Au 0.500 0.500 0.500
N1 N 0.000 0.500 0.000
```

***

Copy entry 10 word for word.
The following is a DFT calculation (PBE-GGA) of an optimized crystal structure of NpNb2Se3.

Properties
Raw formation energy ... -0.64 eV per atom

Cell and atoms, written as CIF:
```
data_NpNb2Se3
_space_group_name_H-M_alt 'C 1 2/m 1'
_space_group_IT_number 12
_cell_length_a 17.735
_cell_length_b 3.571
_cell_length_c 9.345
_cell_angle_alpha 90.00
_cell_angle_beta 107.09
_cell_angle_gamma 90.00
loop_
_space_group_symop_operation_xyz
'x,y,z'
'-x,-y,-z'
'-x,y,-z'
'x,-y,z'
'x+1/2,y+1/2,z'
'-x+1/2,-y+1/2,-z'
'-x+1/2,y+1/2,-z'
'x+1/2,-y+1/2,z'
loop_
_atom_site_label
_atom_site_type_symbol
_atom_site_fract_x
_atom_site_fract_y
_atom_site_fract_z
Np1 Np 0.203 0.000 0.000
Nb1 Nb 0.088 0.500 0.212
Nb2 Nb 0.192 0.000 0.405
Se1 Se 0.045 0.000 0.373
Se2 Se 0.075 0.500 0.924
Se3 Se 0.239 0.000 0.716
```

***

Number 3 is which compound? Cr6CN